(1)
Below is a geometry-optimized Ca2Nd4Bi3O2 structure, with properties calculated at the PBE level.

As for the raw formation energy: -1550 meV per atom.

```
Ca2Nd4Bi3O2
1.0
-2.436 2.436 12.972
2.436 -2.436 12.972
2.436 2.436 -12.972
Ca Nd Bi O
2 4 3 2
Cartesian
0.000 0.000 5.031
0.000 0.000 20.912
2.436 0.000 2.197
2.436 0.000 10.775
0.000 2.436 2.197
0.000 2.436 10.775
0.000 0.000 8.322
0.000 0.000 12.972
0.000 0.000 17.622
0.000 0.000 2.679
0.000 0.000 23.264
```

---

(2)
Below is a geometry-optimized CaCu2 structure, with properties calculated at the PBE level.

The total energy comes out at -3.501 eV/atom.

```
CaCu2
1.0
-2.027 2.027 7.354
2.027 -2.027 7.354
2.027 2.027 -7.354
Ca Cu
2 4
Cartesian
2.027 1.013 1.839
0.000 1.013 5.516
2.027 -1.013 4.315
2.027 -1.013 6.716
0.000 3.040 0.638
0.000 3.040 3.039
```

---

(3)
Below is a geometry-optimized ScCuBr structure, with properties calculated at the PBE level.

As for the raw formation energy: -374 meV per atom. The energy above the most stable polymorph in this dataset is 449 meV per atom.

```
ScCuBr
1.0
3.529 0.000 0.000
-1.765 3.057 0.000
0.000 0.000 12.292
Sc Cu Br
2 2 2
Cartesian
0.000 0.000 1.786
0.000 0.000 10.506
1.765 1.019 0.000
1.765 1.019 6.146
1.765 1.019 3.711
1.765 1.019 8.581
```

---

(4)
Below is a geometry-optimized LiFe2Co structure, with properties calculated at the PBE level.

The energy above the most stable polymorph in this dataset is 19 meV per atom.

```
LiFe2Co
1.0
2.417 0.000 0.000
0.000 4.083 0.000
-0.699 0.000 4.648
Li Fe Co
1 2 1
Cartesian
0.000 0.000 0.000
0.054 2.042 3.465
1.664 2.042 1.183
0.859 0.000 2.324
```

---

Values for N(E_F), states/eV per atom, ordered as above
0.38; 0.41; 0.43; 0.62
Values for M_tot, μB/atom, ordered as above
0.00; 0.00; 0.00; 1.59